Entry 1:
# PBE MnSiAs2Se, optimized geometry
# Excess energy over the best structure of this formula in the dataset in meV/atom: 566
# Formation energy (no corrections) in kJ/mol of atoms: 110.26
# Crystal system: tetragonal
# DOS(E_F) in states/eV per atom: 1.051
# Calculated total energy in eV/atom: -4.33
data_MnSiAs2Se
_chemical_formula_sum 'Mn1 Si1 As2 Se1'
_space_group_name_H-M_alt 'P 4/m m m'
_space_group_IT_number 123
_space_group_name_Hall '-P 4 2'
_cell_length_a 4.7050
_cell_length_b 4.7050
_cell_length_c 4.7405
_cell_angle_alpha 90.00
_cell_angle_beta 90.00
_cell_angle_gamma 90.00
loop_
_atom_site_label
_atom_site_type_symbol
_atom_site_fract_x
_atom_site_fract_y
_atom_site_fract_z
Mn1 Mn 0.0000 0.0000 0.0000
Si1 Si 0.5000 0.5000 0.5000
As1 As 0.0000 0.5000 0.5000
Se1 Se 0.5000 0.5000 0.0000

Entry 2:
# PBE InCo2Pb, optimized geometry
# Excess energy over the best structure of this formula in the dataset in meV/atom: 16
# Crystal system: orthorhombic
# DOS(E_F) in states/eV per atom: 1.212
# Calculated total energy in eV/atom: -4.87
data_InCo2Pb
_chemical_formula_sum 'In2 Co4 Pb2'
_space_group_name_H-M_alt 'A m m 2'
_space_group_IT_number 38
_space_group_name_Hall 'A 2 -2'
_cell_length_a 3.9736
_cell_length_b 3.7807
_cell_length_c 9.6307
_cell_angle_alpha 90.00
_cell_angle_beta 90.00
_cell_angle_gamma 90.00
loop_
_atom_site_label
_atom_site_type_symbol
_atom_site_fract_x
_atom_site_fract_y
_atom_site_fract_z
In1 In 0.0000 0.0000 0.0000
Co1 Co 0.0000 0.0000 0.2945
Co2 Co 0.5000 0.0000 0.4154
Pb1 Pb 0.5000 0.0000 0.7014

Entry 3:
# PBE AcPr4Co, optimized geometry
# Excess energy over the best structure of this formula in the dataset in meV/atom: 82
# Crystal system: monoclinic
# DOS(E_F) in states/eV per atom: 1.494
# Calculated total energy in eV/atom: -4.96
data_AcPr4Co
_chemical_formula_sum 'Ac2 Pr8 Co2'
_space_group_name_H-M_alt 'P 1 21/c 1'
_space_group_IT_number 14
_space_group_name_Hall '-P 2ybc'
_cell_length_a 10.0898
_cell_length_b 6.5820
_cell_length_c 6.3979
_cell_angle_alpha 90.00
_cell_angle_beta 100.45
_cell_angle_gamma 90.00
loop_
_atom_site_label
_atom_site_type_symbol
_atom_site_fract_x
_atom_site_fract_y
_atom_site_fract_z
Ac1 Ac 0.0000 0.0000 0.0000
Pr1 Pr 0.2379 0.0882 0.5737
Pr2 Pr 0.3847 0.6126 0.6254
Co1 Co 0.5000 0.0000 0.5000

Number 1: total magnetic moment 0.02 μB per formula unit. Number 2: total magnetic moment 2.22 μB per formula unit. Number 3: total magnetic moment 0.00 μB per formula unit.